Compound: KLiCd2I6
Source: Alexandria
Functional: PBE
Structure: relaxed

Structure (POSCAR):
```
KLiCd2I6
1.0
7.9631 0.0000 0.0000
-3.9626 6.9406 0.0000
-3.9723 -2.3092 6.9728
K Li Cd I
1 1 2 6
direct
0.0000 0.0000 0.0000
0.0600 0.5304 0.5909
0.4158 0.2056 0.6240
0.4507 0.7234 0.1685
0.2584 0.8091 0.3572
0.2880 0.9279 0.8417
0.4836 0.5545 0.8416
0.5501 0.4467 0.3584
0.9103 0.3565 0.8390
0.9156 0.1026 0.3607
```

Properties
Its space-group type is P1, No. 1. The size of the total moment is 0.0 Bohr magnetons per cell. The total energy comes out at -22.3 eV per cell. The calculated volume comes out at 385.37 Å³ per cell.

Compound: KLiCdI4
Source: Alexandria
Functional: PBE
Structure: relaxed

Structure (POSCAR):
```
KLiCdI4
1.0
7.2265 0.0000 0.0000
0.0000 8.8476 0.0000
-1.8759 0.0000 9.4460
K Li Cd I
2 2 2 8
direct
0.1765 0.2500 0.0662
0.8235 0.7500 0.9338
0.2970 0.2500 0.6865
0.7030 0.7500 0.3135
0.2167 0.7500 0.3211
0.7833 0.2500 0.6789
0.0520 0.0124 0.7340
0.0520 0.4876 0.7340
0.4003 0.7500 0.0813
0.4747 0.2500 0.4541
0.5253 0.7500 0.5459
0.5997 0.2500 0.9187
0.9480 0.5124 0.2660
0.9480 0.9876 0.2660
```

Properties
Its space-group type is P2_1/m, No. 11. The size of the total moment is 0.0 Bohr magnetons per cell. The total energy comes out at -34.2 eV per cell. The calculated volume comes out at 603.95 Å³ per cell.